First-principles (GGA-PBE) data for Sr2Al3InPt4 after structural relaxation, as listed in the Alexandria database.

Values from the calculation:
- N(E_F): 2.9 states/eV per cell
- Formation enthalpy at 0 K: -0.93 eV per atom

Unit cell a=4.4969 b=4.4969 c=10.3521 alpha=90.00 beta=90.00 gamma=90.00
Last column: nearest neighbours and their distance in Å.
Space group P-4m2 (No. 115)
Asymmetric unit:
Sr 0.0000 0.5000 0.2396  8 Pt 3.35-3.41, 7 Al 3.43-3.68, 2 In 3.51
Al 0.0000 0.5000 0.8844  5 Pt 2.51-2.55
Al 0.5000 0.5000 0.5000  4 Pt 2.69
In 0.0000 0.0000 0.5000  4 Pt 2.69
Pt 0.0000 0.0000 0.0000  4 Al 2.55
Pt 0.0000 0.5000 0.6423  3 Al 2.51-2.69, 2 In 2.69
Pt 0.5000 0.5000 0.0000  4 Al 2.55

***

First-principles (GGA-PBE) data for Sr2Al4InPt3 after structural relaxation, as listed in the Alexandria database.

Values from the calculation:
- N(E_F): 4.6 states/eV per cell
- Formation enthalpy at 0 K: -0.81 eV per atom

Unit cell a=4.3733 b=4.3733 c=10.9685 alpha=90.00 beta=90.00 gamma=90.00
Last column: nearest neighbours and their distance in Å.
Space group P-4m2 (No. 115)
Asymmetric unit:
Sr 0.0000 0.5000 0.2439  8 Al 3.32-3.46, 6 Pt 3.37-3.56, 2 In 3.56
Al 0.0000 0.0000 0.0000  4 Pt 2.57
Al 0.0000 0.5000 0.6449  3 Pt 2.55-2.70, 2 In 2.70
Al 0.5000 0.5000 0.0000  4 Pt 2.57
In 0.0000 0.0000 0.5000  4 Al 2.70
Pt 0.0000 0.5000 0.8776  5 Al 2.55-2.57
Pt 0.5000 0.5000 0.5000  4 Al 2.70

***

First-principles (GGA-PBE) data for SrAl2InPt after structural relaxation, as listed in the Alexandria database.

Values from the calculation:
- N(E_F): 5.8 states/eV per cell
- Formation enthalpy at 0 K: 1.12 eV per atom

Unit cell a=5.8993 b=5.8993 c=5.2935 alpha=90.00 beta=90.00 gamma=90.00
Last column: nearest neighbours and their distance in Å.
Space group P4/mmm (No. 123)
Asymmetric unit:
Sr 0.0000 0.0000 0.0000  2 Pt 2.65, 4 Al 2.95
Al 0.0000 0.5000 0.0000  2 Sr 2.95
In 0.5000 0.5000 0.5000  8 Al 3.96, 4 Pt 4.17
Pt 0.0000 0.0000 0.5000  2 Sr 2.65